Record 1
Compound: Sr3CaPd
Source: the Alexandria database
Functional: GGA-PBE
Structure: relaxed

Cell and atoms, written as extended XYZ:
```
20
Lattice="14.872 0.000 0.097 6.115 7.712 -3.600 -6.115 7.712 3.600" Properties=species:S:1:pos:R:3 pbc="T T T"
Ca 5.882 12.310 0.053
Ca 8.989 3.114 0.044
Ca 13.318 10.826 0.101
Ca 1.553 4.598 -0.004
Sr 10.073 8.689 2.626
Sr 9.297 10.549 -0.583
Sr 12.927 6.700 -0.128
Sr 13.011 2.837 0.728
Sr 9.381 14.412 0.273
Sr 4.799 6.735 -2.530
Sr 8.751 6.735 -1.022
Sr 1.861 12.587 -0.631
Sr 6.120 8.689 1.119
Sr 5.575 4.875 0.680
Sr 1.945 8.724 0.225
Sr 5.491 1.012 -0.176
Pd 0.661 11.189 1.824
Pd 14.211 4.235 -1.727
Pd 8.097 6.021 1.873
Pd 6.775 9.403 -1.776
```

final energy	-2.71	eV per atom
space-group type	C2/c (15)

=====

Record 2
Compound: Sr3CaPd
Source: the Alexandria database
Functional: GGA-PBE
Structure: relaxed

Cell and atoms, written as extended XYZ:
```
10
Lattice="4.239 -2.448 0.000 0.000 4.895 0.000 0.000 0.000 24.347" Properties=species:S:1:pos:R:3 pbc="T T T"
Sr 2.826 0.000 3.003
Sr 1.413 2.448 21.344
Sr 0.000 0.000 18.261
Sr 0.000 0.000 6.087
Sr 1.413 2.448 15.177
Sr 2.826 0.000 9.171
Pd 2.826 0.000 6.087
Pd 1.413 2.448 18.261
Ca 0.000 0.000 12.174
Ca 0.000 0.000 0.000
```

final energy	-2.44	eV per atom
space-group type	P6_3/mmc (194)